[1]
# EuIn2Pb

Crystalline EuIn2Pb at its relaxed geometry (PBE, Alexandria via LeMat-Bulk).

The space group is P4/mmm (No. 123) and the conventional cell measures 4.0086, 4.0086 and 7.3917 Å, with angles of 90.00, 90.00 and 90.00 degrees. Symmetry generates all atoms from Eu at (0.0000, 0.0000, 0.0000), In at (0.5000, 0.5000, 0.2763) and Pb at (0.0000, 0.0000, 0.5000).

The value obtained for the formation energy is -0.25 eV/atom. The calculation puts the raw total energy at -20.47 eV/f.u. Its energy above the lowest structure with this stoichiometry is 130.0 meV/atom.


[2]
# La2HRh

Crystalline La2HRh at its relaxed geometry (PBE, Alexandria via LeMat-Bulk).

The space group is I-42d (No. 122) and the conventional cell measures 5.6505, 5.6505 and 13.1023 Å, with angles of 90.00, 90.00 and 90.00 degrees. Symmetry generates all atoms from La at (0.2100, 0.2500, 0.1250), H at (0.0000, 0.0000, 0.0000) and Rh at (0.0000, 0.0000, 0.5000).

The calculation puts the raw total energy at -21.88 eV/f.u. Its energy above the lowest structure with this stoichiometry is 251.1 meV/atom.


[3]
# TbIrC

Crystalline TbIrC at its relaxed geometry (PBE, Alexandria via LeMat-Bulk).

The space group is P4_2/mmc (No. 131) and the conventional cell measures 6.0966, 6.0966 and 4.8814 Å, with angles of 90.00, 90.00 and 90.00 degrees. Symmetry generates all atoms from Tb at (0.0000, 0.2665, 0.0000), Ir at (0.2765, 0.5000, 0.5000) and C at (0.0000, 0.2999, 0.5000).

The value obtained for the formation energy is -0.04 eV/atom. The calculation puts the raw total energy at -22.83 eV/f.u. Its energy above the lowest structure with this stoichiometry is 454.4 meV/atom.